Here is a relaxed Bi2Pt9 crystal from OQMD via LeMat-Bulk. Energies are from PBE.

Computed properties:
For the volume, the calculation gives 25.46 Å³ per atom. Its theoretical density is 12.9 g cm⁻³. The energy comes out at -5.48 eV per atom. For the total magnetic moment, the calculation gives 0.002 μB per formula unit.

Lattice parameters (Å, degrees): 3.008 3.008 35.736 90.00 90.00 120.00
Fractional positions:
Pt 0.000 0.000 0.678
Bi 0.667 0.333 0.195
Pt 0.333 0.667 0.619
Pt 0.000 0.000 0.322
Pt 0.667 0.333 0.381
Pt 0.333 0.667 0.260
Pt 0.333 0.667 0.441
Bi 0.333 0.667 0.805
Pt 0.667 0.333 0.740
Pt 0.000 0.000 0.500
Pt 0.667 0.333 0.559



Here is a relaxed BiPt15 crystal from OQMD via LeMat-Bulk. Energies are from PBE.

Computed properties:
For the volume, the calculation gives 25.19 Å³ per atom. Its theoretical density is 12.9 g cm⁻³. For the total magnetic moment, the calculation gives 0.234 μB per formula unit. The value obtained for the energy relative to the lowest polymorph listed for this composition is 0.069 eV/atom.

Lattice parameters (Å, degrees): 7.843 2.841 36.184 90.00 90.05 90.00
Fractional positions:
Pt 0.120 0.000 0.326
Pt 0.364 0.500 0.755
Pt 0.626 0.000 0.403
Pt 0.374 0.500 0.597
Pt 0.885 0.500 0.755
Pt 0.626 0.000 0.711
Pt 0.374 0.500 0.289
Pt 0.124 0.000 0.404
Pt 0.370 0.500 0.675
Bi 0.125 0.000 0.800
Pt 0.630 0.000 0.325
Pt 0.876 0.500 0.596
Pt 0.126 0.000 0.557
Pt 0.376 0.500 0.519
Pt 0.636 0.000 0.245
Pt 0.375 0.500 0.215
Pt 0.126 0.000 0.480
Pt 0.126 0.000 0.635
Pt 0.625 0.000 0.785
Pt 0.874 0.500 0.520
Pt 0.625 0.000 0.636
Pt 0.624 0.000 0.481
Pt 0.875 0.500 0.286
Pt 0.624 0.000 0.559
Pt 0.874 0.500 0.365
Pt 0.880 0.500 0.674
Bi 0.875 0.500 0.200
Pt 0.375 0.500 0.364
Pt 0.115 0.000 0.245
Pt 0.874 0.500 0.443
Pt 0.376 0.500 0.441
Pt 0.125 0.000 0.714



Here is a relaxed BiPt6 crystal from OQMD via LeMat-Bulk. Energies are from PBE.

Computed properties:
For the volume, the calculation gives 31.62 Å³ per atom. Its theoretical density is 10.3 g cm⁻³. For the total magnetic moment, the calculation gives 0.001 μB per formula unit. The value obtained for the energy relative to the lowest polymorph listed for this composition is 0.000 eV/atom.

Lattice parameters (Å, degrees): 4.791 4.791 25.722 90.34 90.34 48.58
Fractional positions:
Pt 0.752 0.752 0.412
Pt 0.155 0.155 0.338
Pt 0.845 0.845 0.662
Pt 0.248 0.248 0.588
Pt 0.947 0.947 0.553
Bi 0.453 0.453 0.737
Bi 0.547 0.547 0.263
Pt 0.548 0.548 0.623
Pt 0.148 0.148 0.695
Pt 0.351 0.351 0.483
Pt 0.053 0.053 0.447
Pt 0.452 0.452 0.377
Pt 0.649 0.649 0.517
Pt 0.852 0.852 0.305



Here is a relaxed BiPt15 crystal from OQMD via LeMat-Bulk. Energies are from PBE.

Computed properties:
For the volume, the calculation gives 25.18 Å³ per atom. Its theoretical density is 12.9 g cm⁻³. For the total magnetic moment, the calculation gives 0.013 μB per formula unit. The value obtained for the energy relative to the lowest polymorph listed for this composition is 0.022 eV/atom.

Lattice parameters (Å, degrees): 5.590 3.972 36.296 90.00 90.02 90.00
Fractional positions:
Pt 0.375 0.750 0.865
Pt 0.122 0.250 0.826
Pt 0.878 0.750 0.254
Pt 0.626 0.250 0.904
Pt 0.372 0.750 0.174
Pt 0.125 0.250 0.980
Pt 0.625 0.250 0.981
Bi 0.125 0.250 0.299
Pt 0.875 0.750 0.943
Pt 0.125 0.250 0.214
Pt 0.875 0.750 0.020
Pt 0.628 0.250 0.826
Pt 0.625 0.250 0.211
Pt 0.122 0.250 0.746
Pt 0.125 0.250 0.135
Pt 0.878 0.750 0.174
Pt 0.125 0.250 0.057
Pt 0.375 0.750 0.019
Pt 0.375 0.750 0.942
Pt 0.625 0.250 0.135
Pt 0.372 0.750 0.254
Pt 0.876 0.750 0.096
Pt 0.875 0.750 0.865
Pt 0.375 0.750 0.714
Pt 0.124 0.250 0.904
Pt 0.628 0.250 0.746
Pt 0.625 0.250 0.286
Pt 0.625 0.250 0.058
Pt 0.375 0.750 0.789
Pt 0.374 0.750 0.096
Pt 0.875 0.750 0.786
Bi 0.875 0.750 0.701



Here is a relaxed BiPt15 crystal from OQMD via LeMat-Bulk. Energies are from PBE.

Computed properties:
For the volume, the calculation gives 22.27 Å³ per atom. Its theoretical density is 14.6 g cm⁻³. For the total magnetic moment, the calculation gives 0.006 μB per formula unit. The value obtained for the energy relative to the lowest polymorph listed for this composition is 0.109 eV/atom.

Lattice parameters (Å, degrees): 2.846 2.846 43.997 90.00 90.00 90.00
Fractional positions:
Pt 0.000 0.000 0.611
Pt 0.500 0.500 0.743
Pt 0.000 0.000 0.787
Pt 0.000 0.000 0.523
Pt 0.500 0.500 0.213
Pt 0.500 0.500 0.391
Pt 0.000 0.000 0.435
Pt 0.500 0.500 0.303
Pt 0.000 0.000 0.258
Bi 0.000 0.000 0.162
Pt 0.500 0.500 0.655
Pt 0.000 0.000 0.347
Pt 0.500 0.500 0.479
Pt 0.500 0.500 0.830
Pt 0.000 0.000 0.699
Pt 0.500 0.500 0.567



Here is a relaxed BiPt15 crystal from OQMD via LeMat-Bulk. Energies are from PBE.

Computed properties:
For the volume, the calculation gives 25.08 Å³ per atom. Its theoretical density is 13.0 g cm⁻³. For the total magnetic moment, the calculation gives 0.030 μB per formula unit. The value obtained for the energy relative to the lowest polymorph listed for this composition is 0.088 eV/atom.

Lattice parameters (Å, degrees): 2.842 3.933 35.903 90.00 90.00 90.00
Fractional positions:
Pt 0.500 0.500 0.402
Pt 0.000 0.000 0.363
Pt 0.500 0.500 0.557
Bi 0.500 0.500 0.799
Pt 0.500 0.500 0.324
Pt 0.500 0.500 0.244
Pt 0.000 0.000 0.596
Pt 0.500 0.500 0.714
Pt 0.000 0.000 0.755
Pt 0.000 0.000 0.518
Pt 0.000 0.000 0.674
Pt 0.000 0.000 0.211
Pt 0.000 0.000 0.286
Pt 0.500 0.500 0.635
Pt 0.500 0.500 0.480
Pt 0.000 0.000 0.441



Here is a relaxed BiPt6 crystal from OQMD via LeMat-Bulk. Energies are from PBE.

Computed properties:
For the volume, the calculation gives 29.58 Å³ per atom. Its theoretical density is 11.1 g cm⁻³. For the total magnetic moment, the calculation gives 0.003 μB per formula unit. The value obtained for the energy relative to the lowest polymorph listed for this composition is 0.336 eV/atom.

Lattice parameters (Å, degrees): 2.951 2.951 27.447 90.00 90.00 120.00
Fractional positions:
Pt 0.667 0.333 0.342
Pt 0.000 0.000 0.503
Pt 0.667 0.333 0.581
Pt 0.333 0.667 0.423
Pt 0.333 0.667 0.659
Pt 0.000 0.000 0.738
Bi 0.000 0.000 0.255



Here is a relaxed RbBiPt crystal from OQMD via LeMat-Bulk. Energies are from PBE.

Computed properties:
For the volume, the calculation gives 33.67 Å³ per atom. Its theoretical density is 8.0 g cm⁻³. For the total magnetic moment, the calculation gives 0.003 μB per formula unit. The value obtained for the energy relative to the lowest polymorph listed for this composition is 0.000 eV/atom.

Lattice parameters (Å, degrees): 6.895 6.895 6.657 99.44 99.44 40.42
Fractional positions:
Rb 0.625 0.625 0.855
Pt 0.297 0.297 0.596
Bi 0.099 0.099 0.357
Bi 0.901 0.901 0.643
Pt 0.703 0.703 0.404
Rb 0.375 0.375 0.145